(1)
This record from OQMD describes an optimized crystal structure of Ba2CuMoS6. The functional is PBE.

Unit cell a=6.809 b=6.809 c=6.809 alpha=60.00 beta=60.00 gamma=90.00
Positions (direct):
Cu1 0.500 0.500 0.000
S1 0.751 0.751 0.498
S2 0.249 0.249 0.501
S3 0.249 0.751 0.000
S4 0.751 0.249 0.000
S5 0.249 0.249 0.000
S6 0.751 0.751 0.000
Mo1 0.000 0.000 0.000
Ba1 0.250 0.750 0.500
Ba2 0.750 0.250 0.500

## Properties
crystal system	cubic
space-group type	Fm-3m
volume	22.32	A^3/atom

=====

(2)
This record from OQMD describes an optimized crystal structure of Pm3Zn4Ge4. The functional is PBE.

Unit cell a=13.009 b=13.009 c=13.009 alpha=161.55 beta=161.24 gamma=26.43
Positions (direct):
Zn1 0.594 0.594 0.000
Zn2 0.250 0.750 0.500
Zn3 0.750 0.250 0.500
Zn4 0.406 0.406 0.000
Ge1 0.049 0.549 0.500
Ge2 0.310 0.310 0.000
Ge3 0.690 0.690 0.000
Ge4 0.951 0.451 0.500
Pm1 0.856 0.856 0.000
Pm2 0.144 0.144 0.000
Pm3 0.500 0.000 0.500

## Properties
crystal system	orthorhombic
space-group type	Immm
volume	20.37	A^3/atom

=====

Number 1: total energy -5.213 eV/atom. Number 2: total energy -4.012 eV/atom.